A relaxed structure of LiVGeO5. Source: the Alexandria database, functional GGA+U.

**Polymorph energy (0 for the lowest one)**: 0.0000 eV per atom
**N(E_F)**: 0.000 states/eV/f.u.
**Raw total energy**: -6.677 eV per atom

Structure (CIF):
```
data_LiVGeO5
_symmetry_space_group_name_H-M 'P 1 21/m 1'
_symmetry_Int_Tables_number 11
_cell_length_a 4.8104
_cell_length_b 6.4240
_cell_length_c 6.5929
_cell_angle_alpha 90.00
_cell_angle_beta 94.45
_cell_angle_gamma 90.00
loop_
_symmetry_equiv_pos_as_xyz
'x,y,z'
'-x,-y,-z'
'-x,y+1/2,-z'
'x,-y+1/2,z'
loop_
_atom_site_label
_atom_site_fract_x
_atom_site_fract_y
_atom_site_fract_z
Li1 0.0000 0.0000 0.0000
V1 0.3906 0.2500 0.7531
Ge1 0.4797 0.7500 0.7516
O1 0.2601 0.2500 0.0446
O2 0.2639 0.5270 0.7670
O3 0.2716 0.7500 0.1881
O4 0.3545 0.2500 0.4777
```